VASP calculation (PBE-GGA) on MnTc2P after structural relaxation.

Summary:
Total magnetization in μB per formula unit: 2.159
Excess energy over the best structure of this formula in the dataset in kcal/mol of atoms: 0.000
ρ in g/cm3: 9.1

Cell and atoms, written as CIF:
```
data_MnTc2P
_chemical_formula_sum 'Mn4 Tc8 P4'
_cell_length_a 5.9092
_cell_length_b 5.9092
_cell_length_c 5.9092
_cell_angle_alpha 90.00
_cell_angle_beta 90.00
_cell_angle_gamma 90.00
_space_group_name_H-M_alt 'F m -3 m'
_space_group_IT_number 225
_space_group_name_Hall '-F 4 2 3'
loop_
_atom_site_label
_atom_site_type_symbol
_atom_site_fract_x
_atom_site_fract_y
_atom_site_fract_z
Mn1 Mn 0.0000 0.0000 0.0000
Tc1 Tc 0.2500 0.2500 0.2500
P1 P 0.0000 0.0000 0.5000
```

=====

VASP calculation (PBE-GGA) on MnTcP2 after structural relaxation.

Summary:
Total magnetization in μB per formula unit: 0.001
Excess energy over the best structure of this formula in the dataset in kcal/mol of atoms: 4.593
ρ in g/cm3: 6.7

Cell and atoms, written as CIF:
```
data_MnTcP2
_chemical_formula_sum 'Mn3 Tc3 P6'
_cell_length_a 3.5506
_cell_length_b 3.5506
_cell_length_c 14.6057
_cell_angle_alpha 90.00
_cell_angle_beta 90.00
_cell_angle_gamma 120.00
_space_group_name_H-M_alt 'R 3 m'
_space_group_IT_number 160
_space_group_name_Hall 'R 3 -2"'
loop_
_atom_site_label
_atom_site_type_symbol
_atom_site_fract_x
_atom_site_fract_y
_atom_site_fract_z
Mn1 Mn 0.0000 0.0000 0.0000
Tc1 Tc 0.0000 0.0000 0.1816
P1 P 0.0000 0.0000 0.4263
P2 P 0.0000 0.0000 0.6068
```

=====

VASP calculation (PBE-GGA) on Mn2TcP2 after structural relaxation.

Summary:
Total magnetization in μB per formula unit: 1.744
Excess energy over the best structure of this formula in the dataset in kcal/mol of atoms: 0.000
ρ in g/cm3: 7.6

Cell and atoms, written as CIF:
```
data_Mn2TcP2
_chemical_formula_sum 'Mn4 Tc2 P4'
_cell_length_a 6.5529
_cell_length_b 6.5529
_cell_length_c 2.7358
_cell_angle_alpha 90.00
_cell_angle_beta 90.00
_cell_angle_gamma 90.00
_space_group_name_H-M_alt 'P 4/m b m'
_space_group_IT_number 127
_space_group_name_Hall '-P 4 2ab'
loop_
_atom_site_label
_atom_site_type_symbol
_atom_site_fract_x
_atom_site_fract_y
_atom_site_fract_z
Mn1 Mn 0.1411 0.3589 0.0000
Tc1 Tc 0.0000 0.0000 0.5000
P1 P 0.1571 0.6571 0.5000
```

=====

VASP calculation (PBE-GGA) on MnTc2P after structural relaxation.

Summary:
Total magnetization in μB per formula unit: 2.058
Excess energy over the best structure of this formula in the dataset in kcal/mol of atoms: 9.893
ρ in g/cm3: 8.7

Cell and atoms, written as CIF:
```
data_MnTc2P
_chemical_formula_sum 'Mn2 Tc4 P2'
_cell_length_a 3.1141
_cell_length_b 4.4875
_cell_length_c 7.7272
_cell_angle_alpha 90.00
_cell_angle_beta 90.00
_cell_angle_gamma 90.00
_space_group_name_H-M_alt 'C m m 2'
_space_group_IT_number 35
_space_group_name_Hall 'C 2 -2'
loop_
_atom_site_label
_atom_site_type_symbol
_atom_site_fract_x
_atom_site_fract_y
_atom_site_fract_z
Mn1 Mn 0.0000 0.0000 0.0000
Tc1 Tc 0.0000 0.0000 0.4459
Tc2 Tc 0.0000 0.5000 0.7324
P1 P 0.0000 0.5000 0.2138
```

=====

VASP calculation (PBE-GGA) on MnTcP2 after structural relaxation.

Summary:
Total magnetization in μB per formula unit: 2.497
Excess energy over the best structure of this formula in the dataset in kcal/mol of atoms: 10.987
ρ in g/cm3: 4.9

Cell and atoms, written as CIF:
```
data_MnTcP2
_chemical_formula_sum 'Mn4 Tc4 P8'
_cell_length_a 5.1554
_cell_length_b 5.1554
_cell_length_c 10.9346
_cell_angle_alpha 90.00
_cell_angle_beta 90.00
_cell_angle_gamma 90.00
_space_group_name_H-M_alt 'I -4 2 d'
_space_group_IT_number 122
_space_group_name_Hall 'I -4 2bw'
loop_
_atom_site_label
_atom_site_type_symbol
_atom_site_fract_x
_atom_site_fract_y
_atom_site_fract_z
Mn1 Mn 0.0000 0.0000 0.0000
Tc1 Tc 0.0000 0.0000 0.5000
P1 P 0.2488 0.2500 0.1250
```

=====

VASP calculation (PBE-GGA) on Mn5TcP3 after structural relaxation.

Summary:
Total magnetization in μB per formula unit: 0.007
E in eV per atom: -8.2705
ρ in g/cm3: 7.4

Cell and atoms, written as CIF:
```
data_Mn5TcP3
_chemical_formula_sum 'Mn20 Tc4 P12'
_cell_length_a 2.7116
_cell_length_b 12.1175
_cell_length_c 12.6850
_cell_angle_alpha 90.00
_cell_angle_beta 90.00
_cell_angle_gamma 90.00
_space_group_name_H-M_alt 'C m c m'
_space_group_IT_number 63
_space_group_name_Hall '-C 2c 2'
loop_
_atom_site_label
_atom_site_type_symbol
_atom_site_fract_x
_atom_site_fract_y
_atom_site_fract_z
Mn1 Mn 0.0000 0.0000 0.0000
Mn2 Mn 0.0000 0.1915 0.0809
Mn3 Mn 0.0000 0.4728 0.6602
Tc1 Tc 0.0000 0.1657 0.7500
P1 P 0.0000 0.1526 0.2500
P2 P 0.0000 0.3692 0.0647
```

=====

VASP calculation (PBE-GGA) on MnTc2P after structural relaxation.

Summary:
Total magnetization in μB per formula unit: 0.005
Excess energy over the best structure of this formula in the dataset in kcal/mol of atoms: 3.253
ρ in g/cm3: 9.1

Cell and atoms, written as CIF:
```
data_MnTc2P
_chemical_formula_sum 'Mn2 Tc4 P2'
_cell_length_a 3.8938
_cell_length_b 2.7930
_cell_length_c 9.4452
_cell_angle_alpha 90.00
_cell_angle_beta 90.00
_cell_angle_gamma 90.00
_space_group_name_H-M_alt 'A m m 2'
_space_group_IT_number 38
_space_group_name_Hall 'A 2 -2'
loop_
_atom_site_label
_atom_site_type_symbol
_atom_site_fract_x
_atom_site_fract_y
_atom_site_fract_z
Mn1 Mn 0.0000 0.0000 0.0000
Tc1 Tc 0.0000 0.0000 0.7316
Tc2 Tc 0.5000 0.0000 0.3783
P1 P 0.5000 0.0000 0.1211
```

=====

VASP calculation (PBE-GGA) on MnTc2P after structural relaxation.

Summary:
Total magnetization in μB per formula unit: 0.643
Excess energy over the best structure of this formula in the dataset in kcal/mol of atoms: 5.853
ρ in g/cm3: 9.0

Cell and atoms, written as CIF:
```
data_MnTc2P
_chemical_formula_sum 'Mn3 Tc6 P3'
_cell_length_a 2.7510
_cell_length_b 2.7510
_cell_length_c 23.8983
_cell_angle_alpha 90.00
_cell_angle_beta 90.00
_cell_angle_gamma 120.00
_space_group_name_H-M_alt 'R 3 m'
_space_group_IT_number 160
_space_group_name_Hall 'R 3 -2"'
loop_
_atom_site_label
_atom_site_type_symbol
_atom_site_fract_x
_atom_site_fract_y
_atom_site_fract_z
Mn1 Mn 0.0000 0.0000 0.0000
Tc1 Tc 0.0000 0.0000 0.2465
Tc2 Tc 0.0000 0.0000 0.4870
P1 P 0.0000 0.0000 0.7382
```

=====

Among the records above, which one has the lowest ρ? number 5

=====

What did the sixth record say?
VASP calculation (PBE-GGA) on Mn5TcP3 after structural relaxation.

Summary:
Total magnetization in μB per formula unit: 0.007
E in eV per atom: -8.2705
ρ in g/cm3: 7.4

Cell and atoms, written as CIF:
```
data_Mn5TcP3
_chemical_formula_sum 'Mn20 Tc4 P12'
_cell_length_a 2.7116
_cell_length_b 12.1175
_cell_length_c 12.6850
_cell_angle_alpha 90.00
_cell_angle_beta 90.00
_cell_angle_gamma 90.00
_space_group_name_H-M_alt 'C m c m'
_space_group_IT_number 63
_space_group_name_Hall '-C 2c 2'
loop_
_atom_site_label
_atom_site_type_symbol
_atom_site_fract_x
_atom_site_fract_y
_atom_site_fract_z
Mn1 Mn 0.0000 0.0000 0.0000
Mn2 Mn 0.0000 0.1915 0.0809
Mn3 Mn 0.0000 0.4728 0.6602
Tc1 Tc 0.0000 0.1657 0.7500
P1 P 0.0000 0.1526 0.2500
P2 P 0.0000 0.3692 0.0647
```

=====

Look up the total magnetization of the eighth one. 0.643 μB per formula unit

=====

Which value of ρ does entry 1 give? 9.1 g/cm3